Material: BeTl
Method: DFT, GGA-PBE
State: relaxed

Cell lengths 3.830, 3.830, 6.583 Å; angles 90.24, 90.24, 119.36 degrees
Fractional coordinates of all 4 atoms:
Be1 0.168 0.832 0.000
Be2 0.832 0.168 0.000
Tl1 0.496 0.496 0.734
Tl2 0.504 0.504 0.266

Calculated values
The volume comes out at 84 Å³ per cell. For the formation energy, the calculation gives 0.498 eV/atom. For the energy relative to the lowest polymorph listed for this composition, the calculation gives 0.060 eV/atom. The calculation puts the final energy at -10.19 eV/cell.



Material: BeTl2
Method: DFT, GGA-PBE
State: relaxed

Cell lengths 4.773, 4.773, 3.171 Å; angles 90.00, 90.00, 90.00 degrees
Fractional coordinates of all 3 atoms:
Be1 0.000 0.000 0.000
Tl1 0.000 0.500 0.500
Tl2 0.500 0.000 0.500

Calculated values
The volume comes out at 72 Å³ per cell. For the formation energy, the calculation gives 0.547 eV/atom. For the energy relative to the lowest polymorph listed for this composition, the calculation gives 0.134 eV/atom. The calculation puts the final energy at -6.82 eV/cell.



Material: BeTl4
Method: DFT, GGA-PBE
State: relaxed

Cell lengths 6.526, 6.526, 6.526 Å; angles 93.81, 93.81, 150.13 degrees
Fractional coordinates of all 5 atoms:
Be1 0.000 0.000 0.000
Tl1 0.238 0.438 0.676
Tl2 0.438 0.762 0.200
Tl3 0.562 0.238 0.800
Tl4 0.762 0.562 0.324

Calculated values
The volume comes out at 134 Å³ per cell. For the formation energy, the calculation gives 0.341 eV/atom. For the energy relative to the lowest polymorph listed for this composition, the calculation gives 0.069 eV/atom. The calculation puts the final energy at -11.48 eV/cell.



Question: What is the final energy in the second record?
Answer: -6.82 eV/cell